TiV2Rh8 after structural relaxation, computed with PBE. Values from VASP.

```
&SYSTEM
  ibrav = 0, nat = 11, ntyp = 3
/
ATOMIC_SPECIES
Ti 47.87 Ti.upf
V 50.94 V.upf
Rh 102.91 Rh.upf
CELL_PARAMETERS angstrom
-2.119 6.230 3.019
2.119 -6.230 3.019
2.119 6.230 -3.019
ATOMIC_POSITIONS angstrom
Ti 0.000 0.000 0.000
V 0.000 4.347 0.425
V 0.000 8.112 0.425
Rh 2.119 1.601 -0.152
Rh 2.119 4.291 -1.314
Rh 2.119 0.000 1.954
Rh 0.000 1.939 1.705
Rh 2.119 3.661 1.589
Rh 0.000 0.000 3.636
Rh 0.000 4.629 2.868
Rh 0.000 2.569 4.608
```

Results
Uncorrected energy: -0.590 Ry per atom
Space-group type: Imm2 (44)